Entry from Alexandria via LeMat-Bulk: a relaxed structure of TiGaNiF2 (PBE+U).

```
TiGaNiF2
1.0
3.782 0.000 0.000
0.000 5.650 0.000
0.000 0.000 3.782
Ga F Ni Ti
1 2 1 1
Cartesian
0.000 2.825 0.000 Ga
1.891 0.000 0.000 F
0.000 0.000 1.891 F
1.891 2.825 1.891 Ni
0.000 0.000 0.000 Ti
```

Values from the calculation:
Crystal system: tetragonal
Final energy: -4.503 eV per atom
Total moment: 0.000 μB/atom